Li2ZrCo: relaxed, GGA-PBE.

a b c (Å): 4.399 4.399 4.399
angles (deg): 120.32 119.91 89.79
Fractional coordinates of all 4 atoms:
Zr 0.500 0.500 0.000
Co 0.250 0.750 0.500
Li 0.751 0.251 0.500
Li 0.000 0.000 0.000

The formation energy is 0.164 eV/atom. For the total magnetic moment, the calculation gives 0.0 μB per cell. The energy above the most stable polymorph in this dataset is 105.3 meV per atom. The density of states at the Fermi level comes out at 4.20 states/eV/f.u.

NaSbAuSe2: relaxed, GGA-PBE.

a b c (Å): 5.448 5.225 5.448
angles (deg): 90.00 90.00 90.00
Fractional coordinates of all 5 atoms:
Au 0.000 0.500 0.000
Na 0.500 0.500 0.500
Sb 0.000 0.000 0.000
Se 0.000 0.000 0.500
Se 0.500 0.000 0.000

The uncorrected formation energy comes out at -0.0587 eV per atom. For the total magnetic moment, the calculation gives 0.0 μB per cell. The density of states at the Fermi level comes out at 6.14 states/eV/f.u.

What is the formula in the first record?
Li2ZrCo